Below is LuScSiNi after structural relaxation, with properties calculated at the GGA-PBE level.

CIF file:
```
data_LuScSiNi
_cell_length_a 6.485
_cell_length_b 6.485
_cell_length_c 6.485
_cell_angle_alpha 90.00
_cell_angle_beta 90.00
_cell_angle_gamma 90.00
_space_group_name_H-M_alt 'F -4 3 m'
_space_group_IT_number 216
_space_group_name_Hall 'F -4 2 3'
loop_
_atom_site_label
_atom_site_type_symbol
_atom_site_fract_x
_atom_site_fract_y
_atom_site_fract_z
Lu1 Lu 0.000 0.000 0.000
Sc1 Sc 0.250 0.250 0.250
Si1 Si 0.000 0.000 0.500
Ni1 Ni 0.250 0.250 0.750
```

Output
Magnetic moment: 5.760 μB per cell
ΔE to the lowest computed polymorph: 0.000 eV/atom

---

Below is LuScNiSn after structural relaxation, with properties calculated at the GGA-PBE level.

CIF file:
```
data_LuScNiSn
_cell_length_a 6.835
_cell_length_b 6.835
_cell_length_c 6.835
_cell_angle_alpha 90.00
_cell_angle_beta 90.00
_cell_angle_gamma 90.00
_space_group_name_H-M_alt 'F -4 3 m'
_space_group_IT_number 216
_space_group_name_Hall 'F -4 2 3'
loop_
_atom_site_label
_atom_site_type_symbol
_atom_site_fract_x
_atom_site_fract_y
_atom_site_fract_z
Lu1 Lu 0.000 0.000 0.000
Sc1 Sc 0.250 0.250 0.250
Ni1 Ni 0.250 0.250 0.750
Sn1 Sn 0.000 0.000 0.500
```

Output
Magnetic moment: 0.194 μB per cell
ΔE to the lowest computed polymorph: 0.000 eV/atom

---

Below is LuScTlNi after structural relaxation, with properties calculated at the GGA-PBE level.

CIF file:
```
data_LuScTlNi
_cell_length_a 6.836
_cell_length_b 6.836
_cell_length_c 6.836
_cell_angle_alpha 90.00
_cell_angle_beta 90.00
_cell_angle_gamma 90.00
_space_group_name_H-M_alt 'F -4 3 m'
_space_group_IT_number 216
_space_group_name_Hall 'F -4 2 3'
loop_
_atom_site_label
_atom_site_type_symbol
_atom_site_fract_x
_atom_site_fract_y
_atom_site_fract_z
Lu1 Lu 0.000 0.000 0.000
Sc1 Sc 0.250 0.250 0.250
Tl1 Tl 0.000 0.000 0.500
Ni1 Ni 0.250 0.250 0.750
```

Output
Magnetic moment: 3.674 μB per cell
ΔE to the lowest computed polymorph: 0.000 eV/atom